No. 1
The following is a DFT calculation (GGA-PBE) of a relaxed structure of In2Ag2GeSe6.

Values from the calculation:
Total DFT energy (no corrections) in Ry/atom: -0.2721

POSCAR file:
```
In2Ag2GeSe6
1.0
6.5049 -3.8424 0.0000
6.5049 3.8424 0.0000
-4.3001 0.0000 12.2101
In Ag Ge Se
4 4 2 12
direct
0.0641 0.9359 0.5000
0.7297 0.9163 0.1981
0.9163 0.7297 0.6981
0.9359 0.0641 0.0000
0.2488 0.4347 0.0074
0.4284 0.8487 0.8433
0.4347 0.2488 0.5074
0.8487 0.4284 0.3433
0.3013 0.8358 0.2575
0.8358 0.3013 0.7575
0.0711 0.5868 0.5143
0.1211 0.6315 0.2086
0.1295 0.1577 0.2002
0.1577 0.1295 0.7002
0.1796 0.7184 0.8868
0.4044 0.8839 0.4501
0.5868 0.0711 0.0143
0.6014 0.6336 0.1762
0.6315 0.1211 0.7086
0.6336 0.6014 0.6762
0.7184 0.1796 0.3868
0.8839 0.4044 0.9501
```



No. 2
The following is a DFT calculation (GGA-PBE) of a relaxed structure of Lu2Zn.

Values from the calculation:
Calculated formation energy in eV/atom: 0.474

POSCAR file:
```
Lu2Zn
1.0
0.0000 4.2999 4.2999
4.2999 0.0000 4.2999
4.2999 4.2999 0.0000
Lu Zn
4 2
direct
0.0000 0.0000 0.0000
0.0000 0.0000 0.5000
0.0000 0.5000 0.0000
0.5000 0.0000 0.0000
0.3750 0.3750 0.3750
0.6250 0.6250 0.6250
```



No. 3
The following is a DFT calculation (GGA-PBE) of a relaxed structure of AcLaTc.

Values from the calculation:
Calculated formation energy in eV/atom: 0.960

POSCAR file:
```
AcLaTc
1.0
7.0781 0.0000 0.0000
0.0000 7.0781 0.0000
0.0000 0.0000 7.0781
Ac La Tc
4 4 4
direct
0.0000 0.0000 0.0000
0.0000 0.5000 0.5000
0.5000 0.0000 0.5000
0.5000 0.5000 0.0000
0.2500 0.2500 0.2500
0.2500 0.7500 0.7500
0.7500 0.2500 0.7500
0.7500 0.7500 0.2500
0.0000 0.0000 0.5000
0.0000 0.5000 0.0000
0.5000 0.0000 0.0000
0.5000 0.5000 0.5000
```



No. 4
The following is a DFT calculation (GGA-PBE) of a relaxed structure of BaZnTe2.

Values from the calculation:
Total DFT energy (no corrections) in Ry/atom: -0.2068

POSCAR file:
```
BaZnTe2
1.0
8.0183 0.0000 0.0000
0.0000 8.0183 0.0000
0.0000 0.0000 8.0183
Ba Zn Te
4 4 8
direct
0.0000 0.0000 0.0000
0.0000 0.5000 0.5000
0.5000 0.0000 0.5000
0.5000 0.5000 0.0000
0.2500 0.2500 0.2500
0.2500 0.7500 0.7500
0.7500 0.2500 0.7500
0.7500 0.7500 0.2500
0.0000 0.0000 0.5000
0.0000 0.5000 0.0000
0.2500 0.2500 0.7500
0.2500 0.7500 0.2500
0.5000 0.0000 0.0000
0.5000 0.5000 0.5000
0.7500 0.2500 0.2500
0.7500 0.7500 0.7500
```